Y3ScV | PBE | relaxed

Summary:
**Total magnetization**: 0.935 μB/cell
**SG**: No. 221
**E**: -6.438 eV/atom
**Formation energy**: 0.53 eV/atom

Geometry as extended XYZ:
```
5
Lattice="5.3113 0.0000 0.0000 0.0000 5.3113 0.0000 0.0000 0.0000 5.3113" Properties=species:S:1:pos:R:3 pbc="T T T"
Y 0.0000 0.0000 2.6557
Y 0.0000 2.6557 0.0000
Y 2.6557 0.0000 0.0000
Sc 2.6557 2.6557 2.6557
V 0.0000 0.0000 0.0000
```

LiPmSc | PBE | relaxed

Summary:
**Total magnetization**: 0.324 μB/cell
**SG**: No. 156
**E**: -4.190 eV/atom
**Formation energy**: 0.14 eV/atom
**Energy above the most stable polymorph in this dataset**: 28 meV/atom

Geometry as extended XYZ:
```
3
Lattice="3.3985 0.0000 0.0000 -1.6993 2.9432 0.0000 0.0000 0.0000 8.1166" Properties=species:S:1:pos:R:3 pbc="T T T"
Li 0.0000 0.0000 0.0000
Pm 0.0000 1.9621 5.2797
Sc 1.6993 0.9811 2.5684
```